(1)
Computed, not measured: a relaxed V3FeRe crystal at the GGA-PBE level of DFT.

Cell lengths 4.2145, 4.2145, 4.2145 Å; angles 90.00, 90.00, 90.00 degrees
Space group Pm-3m (No. 221)
Asymmetric unit:
V 0.0000 0.0000 0.5000
Fe 0.0000 0.0000 0.0000
Re 0.5000 0.5000 0.5000

Properties
Raw total energy, eV per atom: -8.77
Theoretical density, g cm⁻³: 8.760
Density of states at the Fermi level, states/eV/f.u.: 7.8
ΔH_f (0 K), eV/atom: 0.887

---

(2)
Computed, not measured: a relaxed V2Fe2Re crystal at the GGA-PBE level of DFT.

Cell lengths 6.8238, 6.8238, 2.6906 Å; angles 90.00, 90.00, 90.00 degrees
Space group P4/mbm (No. 127)
Asymmetric unit:
V 0.1526 0.3474 0.0000
Fe 0.1473 0.6473 0.5000
Re 0.0000 0.0000 0.0000

Properties
Raw total energy, eV per atom: -9.45
Theoretical density, g cm⁻³: 10.597
Density of states at the Fermi level, states/eV/f.u.: 3.5
ΔH_f (0 K), eV/atom: 0.075

---

(3)
Computed, not measured: a relaxed VFeRe2 crystal at the GGA-PBE level of DFT.

Cell lengths 3.0372, 3.0372, 5.9306 Å; angles 90.00, 90.00, 90.00 degrees
Space group P4/mmm (No. 123)
Asymmetric unit:
V 0.0000 0.0000 0.0000
Fe 0.0000 0.0000 0.5000
Re 0.5000 0.5000 0.2515

Properties
Raw total energy, eV per atom: -10.66
Theoretical density, g cm⁻³: 14.546
Density of states at the Fermi level, states/eV/f.u.: 4.1
ΔH_f (0 K), eV/atom: -0.045

---

(4)
Computed, not measured: a relaxed V6Fe2Re crystal at the GGA-PBE level of DFT.

Cell lengths 7.7951, 7.8008, 7.9215 Å; angles 90.00, 90.00, 90.00 degrees
Space group Immm (No. 71)
Asymmetric unit:
V 0.0000 0.2335 0.1879
V 0.1944 0.2114 0.5000
V 0.2030 0.5000 0.2585
Fe 0.0000 0.0000 0.3515
Fe 0.1411 0.0000 0.0000
Re 0.0000 0.5000 0.0000
Re 0.0000 0.5000 0.5000

Properties
Raw total energy, eV per atom: -9.33
Theoretical density, g cm⁻³: 8.323
Density of states at the Fermi level, states/eV/f.u.: 11.2
ΔH_f (0 K), eV/atom: 0.010

---

(5)
Computed, not measured: a relaxed VFe2Re crystal at the GGA-PBE level of DFT.

Cell lengths 3.4818, 3.4818, 18.3256 Å; angles 90.00, 90.00, 90.00 degrees
Space group I-42d (No. 122)
Asymmetric unit:
V 0.0000 0.0000 0.0000
Fe 0.2481 0.2500 0.1250
Re 0.0000 0.0000 0.5000

Properties
Raw total energy, eV per atom: -9.06
Theoretical density, g cm⁻³: 10.430
Density of states at the Fermi level, states/eV/f.u.: 3.7
ΔH_f (0 K), eV/atom: 0.567

---

(6)
Computed, not measured: a relaxed V2FeRe crystal at the GGA-PBE level of DFT.

Cell lengths 2.6068, 4.4961, 9.3287 Å; angles 90.00, 90.00, 90.00 degrees
Space group Immm (No. 71)
Asymmetric unit:
V 0.0000 0.0000 0.2300
Fe 0.0000 0.0000 0.0000
Re 0.0000 0.0000 0.5000

Properties
Raw total energy, eV per atom: -9.30
Theoretical density, g cm⁻³: 10.447
Density of states at the Fermi level, states/eV/f.u.: 4.2
ΔH_f (0 K), eV/atom: 0.489

---

(7)
Computed, not measured: a relaxed V6FeRe5 crystal at the GGA-PBE level of DFT.

Cell lengths 4.2720, 6.0463, 12.7813 Å; angles 90.00, 90.00, 90.00 degrees
Space group Immm (No. 71)
Asymmetric unit:
V 0.0000 0.2476 0.0000
V 0.0000 0.2513 0.3344
Fe 0.0000 0.5000 0.5000
Re 0.0000 0.0000 0.1646
Re 0.0000 0.0000 0.5000
Re 0.0000 0.5000 0.1667

Properties
Raw total energy, eV per atom: -10.75
Theoretical density, g cm⁻³: 13.002
Density of states at the Fermi level, states/eV/f.u.: 9.8
ΔH_f (0 K), eV/atom: -0.296

---

(8)
Computed, not measured: a relaxed VFe3Re crystal at the GGA-PBE level of DFT.

Cell lengths 4.1327, 4.1327, 4.1327 Å; angles 90.00, 90.00, 90.00 degrees
Space group Pm-3m (No. 221)
Asymmetric unit:
V 0.0000 0.0000 0.0000
Fe 0.0000 0.0000 0.5000
Re 0.5000 0.5000 0.5000

Properties
Raw total energy, eV per atom: -8.06
Theoretical density, g cm⁻³: 9.520
Density of states at the Fermi level, states/eV/f.u.: 4.3
ΔH_f (0 K), eV/atom: 1.331

---

(9)
Computed, not measured: a relaxed V4FeRe3 crystal at the GGA-PBE level of DFT.

Cell lengths 3.0213, 3.0213, 11.9138 Å; angles 90.00, 90.00, 90.00 degrees
Space group P4/mmm (No. 123)
Asymmetric unit:
V 0.0000 0.0000 0.1184
V 0.0000 0.0000 0.3722
Fe 0.5000 0.5000 0.0000
Re 0.5000 0.5000 0.2435
Re 0.5000 0.5000 0.5000

Properties
Raw total energy, eV per atom: -10.56
Theoretical density, g cm⁻³: 12.494
Density of states at the Fermi level, states/eV/f.u.: 6.3
ΔH_f (0 K), eV/atom: -0.280

---

(10)
Computed, not measured: a relaxed V4Fe3Re crystal at the GGA-PBE level of DFT.

Cell lengths 2.9517, 2.9517, 11.5017 Å; angles 90.00, 90.00, 90.00 degrees
Space group P4/mmm (No. 123)
Asymmetric unit:
V 0.0000 0.0000 0.1212
V 0.0000 0.0000 0.3665
Fe 0.5000 0.5000 0.0000
Fe 0.5000 0.5000 0.2434
Re 0.5000 0.5000 0.5000

Properties
Raw total energy, eV per atom: -9.45
Theoretical density, g cm⁻³: 9.238
Density of states at the Fermi level, states/eV/f.u.: 9.0
ΔH_f (0 K), eV/atom: -0.159

---

(11)
Computed, not measured: a relaxed V2FeRe crystal at the GGA-PBE level of DFT.

Cell lengths 6.6291, 6.6291, 5.0199 Å; angles 90.00, 90.00, 90.00 degrees
Space group I-42d (No. 122)
Asymmetric unit:
V 0.2273 0.7500 0.1250
Fe 0.0000 0.0000 0.0000
Re 0.0000 0.0000 0.5000

Properties
Raw total energy, eV per atom: -9.29
Theoretical density, g cm⁻³: 10.356
Density of states at the Fermi level, states/eV/f.u.: 5.9
ΔH_f (0 K), eV/atom: 0.493

---

(12)
Computed, not measured: a relaxed V2FeRe4 crystal at the GGA-PBE level of DFT.

Cell lengths 4.3421, 4.3421, 12.3699 Å; angles 90.00, 90.00, 90.00 degrees
Space group I4/mmm (No. 139)
Asymmetric unit:
V 0.0000 0.0000 0.1250
Fe 0.0000 0.0000 0.5000
Re 0.0000 0.0000 0.3103
Re 0.0000 0.5000 0.0000

Properties
Raw total energy, eV per atom: -9.59
Theoretical density, g cm⁻³: 12.852
Density of states at the Fermi level, states/eV/f.u.: 9.7
ΔH_f (0 K), eV/atom: 1.337

---

(13)
Computed, not measured: a relaxed V5FeRe4 crystal at the GGA-PBE level of DFT.

Cell lengths 3.0247, 3.0247, 14.9529 Å; angles 90.00, 90.00, 90.00 degrees
Space group P4/mmm (No. 123)
Asymmetric unit:
V 0.0000 0.0000 0.0000
V 0.0000 0.0000 0.2036
V 0.0000 0.0000 0.4057
Fe 0.5000 0.5000 0.5000
Re 0.5000 0.5000 0.1020
Re 0.5000 0.5000 0.3062

Properties
Raw total energy, eV per atom: -10.68
Theoretical density, g cm⁻³: 12.811
Density of states at the Fermi level, states/eV/f.u.: 6.8
ΔH_f (0 K), eV/atom: -0.294

---

(14)
Computed, not measured: a relaxed V3FeRe2 crystal at the GGA-PBE level of DFT.

Cell lengths 3.0124, 3.0124, 8.8844 Å; angles 90.00, 90.00, 90.00 degrees
Space group P4/mmm (No. 123)
Asymmetric unit:
V 0.0000 0.0000 0.0000
V 0.0000 0.0000 0.3410
Fe 0.5000 0.5000 0.5000
Re 0.5000 0.5000 0.1726

Properties
Raw total energy, eV per atom: -10.38
Theoretical density, g cm⁻³: 11.969
Density of states at the Fermi level, states/eV/f.u.: 4.9
ΔH_f (0 K), eV/atom: -0.257

---

(15)
Computed, not measured: a relaxed ZrVFeRe crystal at the GGA-PBE level of DFT.

Cell lengths 6.2169, 6.2169, 6.2169 Å; angles 90.00, 90.00, 90.00 degrees
Space group F-43m (No. 216)
Asymmetric unit:
Zr 0.0000 0.0000 0.0000
V 0.0000 0.0000 0.5000
Fe 0.2500 0.2500 0.7500
Re 0.2500 0.2500 0.2500

Properties
Raw total energy, eV per atom: -9.75
Theoretical density, g cm⁻³: 10.621
Density of states at the Fermi level, states/eV/f.u.: 1.8
ΔH_f (0 K), eV/atom: -0.105

---

(16)
Computed, not measured: a relaxed Fe2ReW crystal at the GGA-PBE level of DFT.

Cell lengths 4.2260, 4.2260, 3.0196 Å; angles 90.00, 90.00, 90.00 degrees
Space group P4/mmm (No. 123)
Asymmetric unit:
Fe 0.0000 0.5000 0.0000
Re 0.0000 0.0000 0.5000
W 0.5000 0.5000 0.5000

Properties
Raw total energy, eV per atom: -10.41
Theoretical density, g cm⁻³: 14.834
Density of states at the Fermi level, states/eV/f.u.: 3.2
ΔH_f (0 K), eV/atom: 0.167

---

(17)
Computed, not measured: a relaxed FeRe2W crystal at the GGA-PBE level of DFT.

Cell lengths 2.7031, 2.7031, 7.8035 Å; angles 90.00, 90.00, 90.00 degrees
Space group P4/mmm (No. 123)
Asymmetric unit:
Fe 0.0000 0.0000 0.0000
Re 0.5000 0.5000 0.2229
W 0.0000 0.0000 0.5000

Properties
Raw total energy, eV per atom: -11.43
Theoretical density, g cm⁻³: 17.826
Density of states at the Fermi level, states/eV/f.u.: 3.7
ΔH_f (0 K), eV/atom: 0.152

---

(18)
Computed, not measured: a relaxed Fe2Re2W crystal at the GGA-PBE level of DFT.

Cell lengths 7.0965, 7.0965, 2.6925 Å; angles 90.00, 90.00, 90.00 degrees
Space group P4/mbm (No. 127)
Asymmetric unit:
Fe 0.1216 0.3784 0.0000
Re 0.1730 0.6730 0.5000
W 0.0000 0.0000 0.0000

Properties
Raw total energy, eV per atom: -10.81
Theoretical density, g cm⁻³: 16.360
Density of states at the Fermi level, states/eV/f.u.: 6.1
ΔH_f (0 K), eV/atom: 0.148

---

(19)
Computed, not measured: a relaxed FeReW2 crystal at the GGA-PBE level of DFT.

Cell lengths 6.1957, 6.1957, 6.1957 Å; angles 90.00, 90.00, 90.00 degrees
Space group Fm-3m (No. 225)
Asymmetric unit:
Fe 0.0000 0.0000 0.0000
Re 0.0000 0.0000 0.5000
W 0.2500 0.2500 0.2500

Properties
Raw total energy, eV per atom: -11.58
Theoretical density, g cm⁻³: 17.029
Density of states at the Fermi level, states/eV/f.u.: 3.7
ΔH_f (0 K), eV/atom: 0.125

---

(20)
Computed, not measured: a relaxed Fe2ReW crystal at the GGA-PBE level of DFT.

Cell lengths 8.7239, 2.6835, 4.5662 Å; angles 90.00, 100.35, 90.00 degrees
Space group Cm (No. 8)
Asymmetric unit:
Fe 0.0000 0.0000 0.0000
Fe 0.2390 0.5000 0.2623
Re 0.2558 0.0000 0.7963
W 0.4920 0.0000 0.4849

Properties
Raw total energy, eV per atom: -10.44
Theoretical density, g cm⁻³: 15.214
Density of states at the Fermi level, states/eV/f.u.: 4.4
ΔH_f (0 K), eV/atom: 0.142

---

(21)
Computed, not measured: a relaxed FeRe4W crystal at the GGA-PBE level of DFT.

Cell lengths 7.2418, 7.2418, 7.2418 Å; angles 90.00, 90.00, 90.00 degrees
Space group F-43m (No. 216)
Asymmetric unit:
Fe 0.0000 0.0000 0.0000
Re 0.1258 0.1258 0.3742
W 0.2500 0.2500 0.7500

Properties
Raw total energy, eV per atom: -11.47
Theoretical density, g cm⁻³: 17.218
Density of states at the Fermi level, states/eV/f.u.: 5.6
ΔH_f (0 K), eV/atom: 0.395

---

(22)
Computed, not measured: a relaxed FeRe2W crystal at the GGA-PBE level of DFT.

Cell lengths 3.8828, 3.8828, 7.6569 Å; angles 90.00, 90.00, 90.00 degrees
Space group I-4m2 (No. 119)
Asymmetric unit:
Fe 0.0000 0.0000 0.0000
Re 0.0000 0.0000 0.5000
Re 0.0000 0.5000 0.7500
W 0.0000 0.5000 0.2500

Properties
Raw total energy, eV per atom: -11.46
Theoretical density, g cm⁻³: 17.610
Density of states at the Fermi level, states/eV/f.u.: 2.9
ΔH_f (0 K), eV/atom: 0.115

---

(23)
Computed, not measured: a relaxed FeReW crystal at the GGA-PBE level of DFT.

Cell lengths 3.1311, 4.3431, 12.7312 Å; angles 90.00, 90.00, 90.00 degrees
Space group Fmm2 (No. 42)
Asymmetric unit:
Fe 0.0000 0.0000 0.0000
Re 0.0000 0.0000 0.3385
W 0.0000 0.0000 0.6633

Properties
Raw total energy, eV per atom: -11.13
Theoretical density, g cm⁻³: 16.340
Density of states at the Fermi level, states/eV/f.u.: 2.4
ΔH_f (0 K), eV/atom: 0.163

---

(24)
Computed, not measured: a relaxed Fe2ReW crystal at the GGA-PBE level of DFT.

Cell lengths 2.7026, 2.7026, 25.8110 Å; angles 90.00, 90.00, 120.00 degrees
Space group R-3m (No. 166, hexagonal axes)
Asymmetric unit:
Fe 0.0000 0.0000 0.2482
Re 0.0000 0.0000 0.5000
W 0.0000 0.0000 0.0000

Properties
Raw total energy, eV per atom: -10.31
Theoretical density, g cm⁻³: 14.699
Density of states at the Fermi level, states/eV/f.u.: 6.0
ΔH_f (0 K), eV/atom: 0.272

---

(25)
Computed, not measured: a relaxed FeRe2W crystal at the GGA-PBE level of DFT.

Cell lengths 2.6682, 4.3661, 5.1159 Å; angles 90.00, 99.18, 90.00 degrees
Space group P2/m (No. 10)
Asymmetric unit:
Fe 0.0000 0.0000 0.0000
Re 0.2509 0.5000 0.7588
W 0.5000 0.0000 0.5000

Properties
Raw total energy, eV per atom: -11.45
Theoretical density, g cm⁻³: 17.276
Density of states at the Fermi level, states/eV/f.u.: 2.9
ΔH_f (0 K), eV/atom: 0.132

---

(26)
Computed, not measured: a relaxed FeReW4 crystal at the GGA-PBE level of DFT.

Cell lengths 7.3387, 7.3387, 7.3387 Å; angles 90.00, 90.00, 90.00 degrees
Space group F-43m (No. 216)
Asymmetric unit:
Fe 0.0000 0.0000 0.0000
Re 0.2500 0.2500 0.2500
W 0.1256 0.1256 0.6256

Properties
Raw total energy, eV per atom: -11.54
Theoretical density, g cm⁻³: 16.426
Density of states at the Fermi level, states/eV/f.u.: 7.3
ΔH_f (0 K), eV/atom: 0.582

---

(27)
Computed, not measured: a relaxed FeReW2 crystal at the GGA-PBE level of DFT.

Cell lengths 5.5412, 7.7150, 2.7734 Å; angles 90.00, 90.00, 90.00 degrees
Space group Cmmm (No. 65)
Asymmetric unit:
Fe 0.0000 0.0000 0.0000
Re 0.0000 0.5000 0.0000
W 0.2500 0.2500 0.5000

Properties
Raw total energy, eV per atom: -11.47
Theoretical density, g cm⁻³: 17.079
Density of states at the Fermi level, states/eV/f.u.: 4.2
ΔH_f (0 K), eV/atom: 0.231